(1)
Material: CaZn3Hg
Method: DFT, PBE
State: optimized geometry

The structure in POSCAR format:
```
CaZn3Hg
1.0
-2.297 1.386 -5.327
4.059 -3.472 -2.654
-3.718 -4.648 0.394
Zn Hg Ca
3 1 1
Direct
0.500 0.000 0.000
0.000 0.500 0.000
0.000 0.000 0.500
0.500 0.500 0.500
0.000 0.000 0.000
```

Output
- Polymorph energy (0 for the lowest one): 841 meV/atom
- Total energy: -0.045 Ry per atom
- ρ: 3.42 g cm⁻³

---

(2)
Material: Ca5Zn2Hg
Method: DFT, PBE
State: optimized geometry

The structure in POSCAR format:
```
Ca5Zn2Hg
1.0
7.131 0.000 -3.366
-1.589 6.952 -3.366
0.133 0.167 9.520
Zn Ca Hg
4 10 2
Direct
0.117 0.383 0.000
0.617 0.117 0.000
0.383 0.883 0.000
0.883 0.617 0.000
0.024 0.524 0.707
0.976 0.476 0.293
0.000 0.000 0.000
0.500 0.500 0.000
0.817 0.976 0.293
0.524 0.683 0.707
0.476 0.317 0.293
0.683 0.183 0.707
0.317 0.817 0.293
0.183 0.024 0.707
0.750 0.750 0.500
0.250 0.250 0.500
```

Output
- Total energy: -0.139 Ry per atom
- ρ: 3.68 g cm⁻³

---

(3)
Material: Ca12Zn3Hg5
Method: DFT, PBE
State: optimized geometry

The structure in POSCAR format:
```
Ca12Zn3Hg5
1.0
15.678 0.000 0.000
-5.226 14.782 0.000
-5.226 -7.391 12.801
Ca Hg Zn
48 20 12
Direct
0.557 0.331 0.927
0.427 0.371 0.596
0.057 0.427 0.831
0.169 0.073 0.943
0.927 0.096 0.871
0.831 0.927 0.057
0.904 0.073 0.629
0.275 0.404 0.831
0.225 0.557 0.629
0.669 0.443 0.573
0.904 0.831 0.775
0.596 0.725 0.669
0.725 0.129 0.057
0.057 0.629 0.725
0.557 0.225 0.129
0.371 0.943 0.775
0.629 0.057 0.225
0.443 0.775 0.871
0.331 0.557 0.427
0.331 0.775 0.404
0.275 0.871 0.943
0.669 0.225 0.596
0.371 0.427 0.096
0.943 0.371 0.275
0.775 0.443 0.371
0.443 0.669 0.073
0.073 0.169 0.443
0.573 0.629 0.404
0.871 0.275 0.443
0.225 0.669 0.096
0.073 0.904 0.129
0.943 0.573 0.169
0.129 0.725 0.557
0.573 0.943 0.669
0.404 0.129 0.573
0.096 0.927 0.371
0.831 0.904 0.275
0.927 0.831 0.557
0.725 0.596 0.169
0.596 0.871 0.427
0.629 0.573 0.904
0.427 0.057 0.331
0.404 0.275 0.331
0.129 0.404 0.073
0.775 0.331 0.904
0.871 0.596 0.927
0.096 0.169 0.225
0.169 0.096 0.725
0.000 0.500 0.500
0.125 0.375 0.250
0.875 0.250 0.625
0.250 0.875 0.125
0.500 0.000 0.000
0.500 0.500 0.500
0.500 0.500 0.000
0.250 0.375 0.625
0.000 0.500 0.000
0.625 0.750 0.875
0.000 0.000 0.000
0.875 0.625 0.750
0.750 0.125 0.875
0.000 0.000 0.500
0.125 0.750 0.375
0.500 0.000 0.500
0.375 0.250 0.125
0.375 0.125 0.750
0.625 0.875 0.250
0.750 0.625 0.375
0.250 0.625 0.875
0.125 0.875 0.750
0.375 0.625 0.250
0.625 0.250 0.375
0.750 0.875 0.625
0.875 0.125 0.250
0.625 0.375 0.750
0.750 0.375 0.125
0.125 0.250 0.875
0.375 0.750 0.625
0.875 0.750 0.125
0.250 0.125 0.375
```

Output
- Total energy: -0.112 Ry per atom
- ρ: 3.76 g cm⁻³